# 1
The following is a SCAN calculation of a crystal of SrIrSe relaxed with PBEsol, from Alexandria.

The space group is P-6m2 (No. 187) and the conventional cell measures 4.2133, 4.2133 and 4.3804 Å, with angles of 90.00, 90.00 and 120.00 degrees. The asymmetric unit holds Sr at (0.0000, 0.0000, 0.0000), Ir at (0.3333, 0.6667, 0.5000) and Se at (0.6667, 0.3333, 0.5000).

The calculation puts the total magnetization at 0.000 μB/atom. The calculation puts the energy relative to the lowest polymorph listed for this composition at 0.00 eV/f.u. The calculation puts the formation energy (no corrections) at -0.798 eV/atom.

---

# 2
The following is a SCAN calculation of a crystal of TaIr4Se relaxed with PBEsol, from Alexandria.

The space group is F-43m (No. 216) and the conventional cell measures 7.276, 7.276 and 7.276 Å, with angles of 90.00, 90.00 and 90.00 degrees. The asymmetric unit holds Ta at (0.000, 0.000, 0.000), Ir at (0.125, 0.125, 0.375) and Se at (0.250, 0.250, 0.750).

The calculation puts the total magnetization at 0.000 μB/atom. The calculation puts the formation energy (no corrections) at 0.409 eV/atom.

---

# 3
The following is a SCAN calculation of a crystal of TaIrSe2 relaxed with PBEsol, from Alexandria.

The space group is R-3m (No. 166, hexagonal axes) and the conventional cell measures 3.3370, 3.3370 and 24.3144 Å, with angles of 90.00, 90.00 and 120.00 degrees. The asymmetric unit holds Ta at (0.0000, 0.0000, 0.0000), Ir at (0.0000, 0.0000, 0.5000) and Se at (0.0000, 0.0000, 0.1038).

The calculation puts the total magnetization at 0.000 μB/atom. The calculation puts the energy relative to the lowest polymorph listed for this composition at 2.64 eV/f.u. The calculation puts the formation energy (no corrections) at 0.381 eV/atom.